(1)
Compound: ThMgNi2P2
Source: Alexandria via LeMat-Bulk
Functional: PBE
Structure: optimized geometry

As for the formation energy: -0.92 eV per atom. As for the space-group type: P-3m1. Its spin magnetization is 0.0 Bohr magnetons per cell. For the total DFT energy (no corrections), the calculation gives -36.9 eV for the cell shown.

Cell: 3.960 3.960 7.145 Å, 90.00 90.00 120.00°
Fractional coordinates of all 6 atoms:
Ni 0.333 0.667 0.711
Ni 0.667 0.333 0.289
P 0.667 0.333 0.734
P 0.333 0.667 0.266
Th 0.000 0.000 0.000
Mg 0.000 0.000 0.500

(2)
Compound: ThMgNi5P2
Source: Alexandria via LeMat-Bulk
Functional: PBE
Structure: optimized geometry

As for the formation energy: -0.66 eV per atom. As for the space-group type: P4/mmm. Its spin magnetization is 0.0 Bohr magnetons per cell. For the total DFT energy (no corrections), the calculation gives -54.7 eV for the cell shown.

Cell: 4.007 4.007 7.848 Å, 90.00 90.00 90.00°
Fractional coordinates of all 9 atoms:
Mg 0.000 0.000 0.500
P 0.500 0.500 0.828
P 0.500 0.500 0.172
Th 0.000 0.000 0.000
Ni 0.500 0.500 0.500
Ni 0.500 0.000 0.711
Ni 0.000 0.500 0.711
Ni 0.000 0.500 0.289
Ni 0.500 0.000 0.289

(3)
Compound: MgTlNiP2
Source: Alexandria via LeMat-Bulk
Functional: PBE
Structure: optimized geometry

As for the formation energy: 0.85 eV per atom. As for the space-group type: P4/mmm. Its spin magnetization is 0.7 Bohr magnetons per cell. For the total DFT energy (no corrections), the calculation gives -16.3 eV for the cell shown.

Cell: 4.813 4.800 4.813 Å, 90.00 90.00 90.00°
Fractional coordinates of all 5 atoms:
P 0.000 0.000 0.500
P 0.500 0.000 0.000
Mg 0.000 0.000 0.000
Tl 0.500 0.500 0.500
Ni 0.000 0.500 0.000

(4)
Compound: MgUNi2P2
Source: Alexandria via LeMat-Bulk
Functional: PBE
Structure: optimized geometry

As for the formation energy: -0.72 eV per atom. As for the space-group type: P-3m1. Its spin magnetization is 1.9 Bohr magnetons per cell. For the total DFT energy (no corrections), the calculation gives -39.6 eV for the cell shown.

Cell: 3.889 3.889 7.068 Å, 90.00 90.00 120.00°
Fractional coordinates of all 6 atoms:
Ni 0.333 0.667 0.723
Ni 0.667 0.333 0.277
P 0.667 0.333 0.749
P 0.333 0.667 0.251
U 0.000 0.000 0.000
Mg 0.000 0.000 0.500

(5)
Compound: MgNiP2W
Source: Alexandria via LeMat-Bulk
Functional: PBE
Structure: optimized geometry

As for the formation energy: 1.59 eV per atom. As for the space-group type: P4/mmm. Its spin magnetization is 0.0 Bohr magnetons per cell. For the total DFT energy (no corrections), the calculation gives -23.2 eV for the cell shown.

Cell: 4.559 4.092 4.559 Å, 90.00 90.00 90.00°
Fractional coordinates of all 5 atoms:
P 0.000 0.000 0.500
P 0.500 0.000 0.000
W 0.500 0.500 0.500
Ni 0.000 0.500 0.000
Mg 0.000 0.000 0.000

(6)
Compound: YMgNiP2
Source: Alexandria via LeMat-Bulk
Functional: PBE
Structure: optimized geometry

As for the formation energy: 1.13 eV per atom. As for the space-group type: P4/mmm. Its spin magnetization is 1.0 Bohr magnetons per cell. For the total DFT energy (no corrections), the calculation gives -19.0 eV for the cell shown.

Cell: 5.166 5.755 5.166 Å, 90.00 90.00 90.00°
Fractional coordinates of all 5 atoms:
Mg 0.000 0.500 0.000
Y 0.000 0.000 0.000
P 0.000 0.000 0.500
P 0.500 0.000 0.000
Ni 0.500 0.500 0.500

(7)
Compound: Mg2Pa2Ni15
Source: Alexandria via LeMat-Bulk
Functional: PBE
Structure: optimized geometry

The energy above the most stable polymorph in this dataset is 0.00 eV per formula unit. As for the formation energy: -0.26 eV per atom. As for the space-group type: R-3m. Its spin magnetization is 0.6 Bohr magnetons per cell. For the total DFT energy (no corrections), the calculation gives -113.8 eV for the cell shown.

Cell: 6.338 6.338 6.338 Å, 81.79 81.79 81.79°
Fractional coordinates of all 19 atoms:
Mg 0.899 0.899 0.899
Mg 0.101 0.101 0.101
Ni 0.000 0.313 0.687
Ni 0.000 0.500 0.000
Ni 0.500 0.000 0.000
Ni 0.687 0.313 0.000
Ni 0.346 0.838 0.346
Ni 0.654 0.162 0.654
Ni 0.313 0.687 0.000
Ni 0.838 0.346 0.346
Ni 0.162 0.654 0.654
Ni 0.313 0.000 0.687
Ni 0.346 0.346 0.838
Ni 0.654 0.654 0.162
Ni 0.000 0.687 0.313
Ni 0.000 0.000 0.500
Ni 0.687 0.000 0.313
Pa 0.351 0.351 0.351
Pa 0.649 0.649 0.649

(8)
Compound: Mg2PaNi9
Source: Alexandria via LeMat-Bulk
Functional: PBE
Structure: optimized geometry

As for the formation energy: -0.31 eV per atom. As for the space-group type: R-3m. Its spin magnetization is 0.0 Bohr magnetons per cell. For the total DFT energy (no corrections), the calculation gives -68.5 eV for the cell shown.

Cell: 4.826 4.826 8.391 Å, 73.29 73.29 60.00°
Fractional coordinates of all 12 atoms:
Pa 0.000 0.000 0.000
Mg 0.855 0.855 0.434
Mg 0.145 0.145 0.566
Ni 0.586 0.586 0.746
Ni 0.666 0.666 0.001
Ni 0.586 0.082 0.746
Ni 0.918 0.414 0.254
Ni 0.414 0.918 0.254
Ni 0.414 0.414 0.254
Ni 0.082 0.586 0.746
Ni 0.500 0.500 0.500
Ni 0.334 0.334 0.999